[1]
A PBEsol-optimized structure of MoRuAu, computed with SCAN.

Properties
ΔE to the lowest computed polymorph (kJ/mol of atoms): 38.9
Energy relative to the elements (meV per atom): 653

abc: 4.2226 4.2226 4.2226
angles: 60.00 60.00 60.00
Closest atoms and distances in Å follow each position.
Positions (direct):
Mo  0.0000  0.0000  0.0000  4 Ru 2.59, 4 Au 2.59
Ru  0.7500  0.7500  0.7500  4 Mo 2.59
Au  0.2500  0.2500  0.2500  4 Mo 2.59

[2]
A PBEsol-optimized structure of MoAu3S, computed with SCAN.

Properties
Calculated total energy (eV per atom): -49.41

abc: 4.6116 4.6116 4.6116
angles: 90.00 90.00 90.00
Closest atoms and distances in Å follow each position.
Positions (direct):
Mo  0.0000  0.0000  0.0000  12 Au 3.26
Au  0.0000  0.5000  0.5000  2 S 2.31
Au  0.5000  0.0000  0.5000  2 S 2.31
Au  0.5000  0.5000  0.0000  2 S 2.31
S  0.5000  0.5000  0.5000  6 Au 2.31

[3]
A PBEsol-optimized structure of SbMoAu2, computed with SCAN.

Properties
Calculated total energy (eV per atom): -52.21

abc: 4.9275 4.9275 4.9275
angles: 128.68 128.68 75.53
Closest atoms and distances in Å follow each position.
Positions (direct):
Sb  0.0000  0.0000  0.0000  4 Mo 2.89, 8 Au 2.89-3.02
Mo  0.2500  0.7500  0.5000  8 Au 2.89-3.02, 4 Sb 2.89
Au  0.5000  0.5000  0.0000  4 Mo 2.89, 4 Au 2.89, 4 Sb 3.02
Au  0.7500  0.2500  0.5000  4 Au 2.89, 4 Sb 2.89, 4 Mo 3.02

[4]
A PBEsol-optimized structure of SbMo2Au, computed with SCAN.

Properties
Calculated total energy (eV per atom): -43.65

abc: 3.0538 4.0722 5.7603
angles: 90.00 101.44 90.00
Closest atoms and distances in Å follow each position.
Positions (direct):
Sb  0.0000  0.0000  0.0000  4 Mo 2.76, 2 Au 2.88, 2 Sb 3.05
Mo  0.4204  0.5000  0.2814  1 Mo 2.47, 2 Sb 2.76
Mo  0.5796  0.5000  0.7186  1 Mo 2.47, 2 Sb 2.76
Au  0.0000  0.0000  0.5000  8 Mo 2.82-2.83, 2 Sb 2.88, 2 Au 3.05

[5]
A PBEsol-optimized structure of Sb2MoAu, computed with SCAN.

Properties
Calculated total energy (eV per atom): -44.39

abc: 3.7400 3.7400 5.6986
angles: 90.00 90.00 90.00
Closest atoms and distances in Å follow each position.
Positions (direct):
Sb  0.0000  0.0000  0.0000  2 Au 2.73-2.97, 4 Mo 2.80
Sb  0.5000  0.5000  0.3571  2 Mo 2.73-2.97, 4 Au 2.80
Mo  0.5000  0.5000  0.8368  6 Sb 2.73-2.97
Au  0.0000  0.0000  0.5209  6 Sb 2.73-2.97

[6]
A PBEsol-optimized structure of Sb2MoAu, computed with SCAN.

Properties
Calculated total energy (eV per atom): -44.32

abc: 3.1658 3.1658 8.2638
angles: 90.00 90.00 90.00
Closest atoms and distances in Å follow each position.
Positions (direct):
Sb  0.0000  0.0000  0.0000  4 Mo 2.81
Sb  0.5000  0.5000  0.3467  4 Au 2.97, 4 Sb 3.17
Mo  0.5000  0.5000  0.7946  4 Sb 2.81, 4 Au 2.84
Au  0.0000  0.0000  0.5827  4 Mo 2.84, 4 Sb 2.97, 4 Au 3.17

[7]
A PBEsol-optimized structure of SbMoAu2, computed with SCAN.

Properties
Calculated total energy (eV per atom): -52.22

abc: 2.8590 4.7321 5.4821
angles: 90.00 103.23 90.00
Closest atoms and distances in Å follow each position.
Positions (direct):
Sb  0.0000  0.0000  0.0000  2 Mo 2.79, 4 Au 2.80, 2 Sb 2.86
Mo  0.5000  0.0000  0.5000  2 Sb 2.79, 2 Mo 2.86, 8 Au 3.05-3.07
Au  0.1020  0.5000  0.7451  3 Au 2.62-2.86, 2 Sb 2.80
Au  0.8980  0.5000  0.2549  3 Au 2.62-2.86, 2 Sb 2.80

[8]
A PBEsol-optimized structure of SbMo2Au, computed with SCAN.

Properties
Calculated total energy (eV per atom): -43.75

abc: 5.0032 5.0032 4.7428
angles: 103.51 103.51 37.16
Closest atoms and distances in Å follow each position.
Positions (direct):
Sb  0.0000  0.0000  0.0000  3 Au 2.78-3.01, 7 Mo 2.82-2.96
Mo  0.2392  0.2392  0.7246  2 Mo 2.55, 2 Au 2.77
Mo  0.5282  0.5282  0.5256  2 Mo 2.55, 2 Sb 2.82, 1 Au 2.85
Au  0.7694  0.7694  0.2667  7 Mo 2.77-2.98, 3 Sb 2.78-3.01

[9]
A PBEsol-optimized structure of SbMoAu, computed with SCAN.

Properties
Calculated total energy (eV per atom): -46.52

abc: 4.5373 4.5373 4.5373
angles: 60.00 60.00 60.00
Closest atoms and distances in Å follow each position.
Positions (direct):
Sb  0.0000  0.0000  0.0000  4 Au 2.78
Mo  0.5000  0.5000  0.5000  4 Au 2.78
Au  0.2500  0.2500  0.2500  4 Mo 2.78, 4 Sb 2.78

[10]
A PBEsol-optimized structure of SbMoAu2, computed with SCAN.

Properties
Calculated total energy (eV per atom): -52.23

abc: 2.8711 4.8014 5.2224
angles: 90.00 90.02 90.00
Closest atoms and distances in Å follow each position.
Positions (direct):
Sb  0.0000  0.0000  0.0000  2 Mo 2.81, 8 Au 2.87-3.09, 2 Sb 2.87
Mo  0.9978  0.5000  0.7208  2 Sb 2.81, 2 Mo 2.87, 8 Au 2.89-3.07
Au  0.4973  0.5000  0.2396  4 Au 2.82-2.87, 4 Mo 2.89-3.07, 4 Sb 3.06-3.07
Au  0.4979  0.0000  0.5235  4 Au 2.82-2.87, 4 Sb 2.87-3.09, 4 Mo 2.98

[11]
A PBEsol-optimized structure of Sb2MoAu, computed with SCAN.

Properties
Calculated total energy (eV per atom): -44.29

abc: 4.7995 4.7995 5.4031
angles: 98.91 98.91 40.35
Closest atoms and distances in Å follow each position.
Positions (direct):
Sb  0.2309  0.2309  0.2255  1 Au 2.75, 3 Mo 2.78-2.89, 2 Sb 3.01
Sb  0.7691  0.7691  0.7745  1 Au 2.75, 3 Mo 2.78-2.89, 2 Sb 3.01
Mo  0.5000  0.5000  0.0000  6 Sb 2.78-2.89
Au  0.0000  0.0000  0.5000  2 Sb 2.75

[12]
A PBEsol-optimized structure of TaSbMo2Au, computed with SCAN.

Properties
Calculated total energy (eV per atom): -46.45

abc: 4.7833 4.7833 4.9453
angles: 90.00 90.00 90.00
Closest atoms and distances in Å follow each position.
Positions (direct):
Ta  0.0000  0.0000  0.0000  2 Sb 2.47
Sb  0.0000  0.0000  0.5000  4 Mo 2.39, 2 Ta 2.47
Mo  0.0000  0.5000  0.5000  2 Sb 2.39
Mo  0.5000  0.0000  0.5000  2 Sb 2.39
Au  0.5000  0.5000  0.0000  4 Ta 3.38, 8 Mo 3.44

Repeat the ninth record exactly.
A PBEsol-optimized structure of SbMoAu, computed with SCAN.

Properties
Calculated total energy (eV per atom): -46.52

abc: 4.5373 4.5373 4.5373
angles: 60.00 60.00 60.00
Closest atoms and distances in Å follow each position.
Positions (direct):
Sb  0.0000  0.0000  0.0000  4 Au 2.78
Mo  0.5000  0.5000  0.5000  4 Au 2.78
Au  0.2500  0.2500  0.2500  4 Mo 2.78, 4 Sb 2.78